Entry 1:
The following is a PBEsol calculation of Li3FeO2F after structural relaxation, from Alexandria via LeMat-Bulk.

a = 8.2447 Å, b = 9.4730 Å, c = 3.6048 Å
α = 90.00°, β = 90.00°, γ = 90.00°
Atoms (fractional coordinates):
Li: 0.1004 0.1643 0.0000
Li: 0.1114 0.9114 0.5000
Li: 0.1528 0.3321 0.5000
Li: 0.3472 0.8321 0.0000
Li: 0.3886 0.4114 0.0000
Li: 0.3996 0.6643 0.5000
Li: 0.6004 0.3357 0.5000
Li: 0.6114 0.5886 0.0000
Li: 0.6528 0.1679 0.0000
Li: 0.8472 0.6679 0.5000
Li: 0.8886 0.0886 0.5000
Li: 0.8996 0.8357 0.0000
Fe: 0.1319 0.5896 0.0000
Fe: 0.3681 0.0896 0.5000
Fe: 0.6319 0.9104 0.5000
Fe: 0.8681 0.4104 0.0000
O: 0.0947 0.3818 0.0000
O: 0.1496 0.1180 0.5000
O: 0.3504 0.6180 0.0000
O: 0.4053 0.8818 0.5000
O: 0.5947 0.1182 0.5000
O: 0.6496 0.3820 0.0000
O: 0.8504 0.8820 0.5000
O: 0.9053 0.6182 0.0000
F: 0.1236 0.8558 0.0000
F: 0.3764 0.3558 0.5000
F: 0.6236 0.6442 0.5000
F: 0.8764 0.1442 0.0000

Calculated values
raw formation energy	-1.866	eV per atom
symmetry	Pnnm, No. 58



Entry 2:
The following is a PBEsol calculation of LiFe2OF3 after structural relaxation, from Alexandria via LeMat-Bulk.

a = 5.9630 Å, b = 5.9630 Å, c = 9.0690 Å
α = 90.00°, β = 90.00°, γ = 90.00°
Atoms (fractional coordinates):
Li: 0.0791 0.7755 0.0000
Li: 0.2245 0.0791 0.7500
Li: 0.7755 0.9209 0.2500
Li: 0.9209 0.2245 0.5000
Fe: 0.2337 0.5567 0.6187
Fe: 0.2783 0.6325 0.3295
Fe: 0.3675 0.2783 0.0795
Fe: 0.4433 0.2337 0.3687
Fe: 0.5567 0.7663 0.8687
Fe: 0.6325 0.7217 0.5795
Fe: 0.7217 0.3675 0.8295
Fe: 0.7663 0.4433 0.1187
O: 0.1842 0.3866 0.4416
O: 0.3866 0.8158 0.6916
O: 0.6134 0.1842 0.1916
O: 0.8158 0.6134 0.9416
F: 0.0049 0.7089 0.2025
F: 0.0436 0.2585 0.1265
F: 0.2585 0.9564 0.3765
F: 0.2911 0.0049 0.9525
F: 0.3021 0.5564 0.9619
F: 0.4436 0.3021 0.7119
F: 0.5564 0.6979 0.2119
F: 0.6979 0.4436 0.4619
F: 0.7089 0.9951 0.4525
F: 0.7415 0.0436 0.8765
F: 0.9564 0.7415 0.6265
F: 0.9951 0.2911 0.7025

Calculated values
raw formation energy	-1.796	eV per atom
symmetry	P4_3, No. 78



Entry 3:
The following is a PBEsol calculation of LiFe5O4F8 after structural relaxation, from Alexandria via LeMat-Bulk.

a = 4.6249 Å, b = 4.6249 Å, c = 8.8526 Å
α = 90.00°, β = 90.00°, γ = 94.94°
Atoms (fractional coordinates):
Li: 0.0000 0.0000 0.0000
Fe: 0.0000 0.0000 0.3242
Fe: 0.0000 0.0000 0.6758
Fe: 0.5000 0.5000 0.1833
Fe: 0.5000 0.5000 0.5000
Fe: 0.5000 0.5000 0.8167
O: 0.3010 0.3010 0.3415
O: 0.3010 0.3010 0.6585
O: 0.6990 0.6990 0.3415
O: 0.6990 0.6990 0.6585
F: 0.1966 0.8034 0.5000
F: 0.2039 0.7961 0.1691
F: 0.2039 0.7961 0.8309
F: 0.3045 0.3045 0.0000
F: 0.6955 0.6955 0.0000
F: 0.7961 0.2039 0.1691
F: 0.7961 0.2039 0.8309
F: 0.8034 0.1966 0.5000

Calculated values
raw formation energy	-1.897	eV per atom
symmetry	Cmmm, No. 65



Entry 4:
The following is a PBEsol calculation of Li4FeOF5 after structural relaxation, from Alexandria via LeMat-Bulk.

a = 5.0314 Å, b = 5.0314 Å, c = 9.5231 Å
α = 94.77°, β = 94.77°, γ = 119.38°
Atoms (fractional coordinates):
Li: 0.0720 0.9280 0.5000
Li: 0.2291 0.7432 0.0167
Li: 0.3942 0.5482 0.5087
Li: 0.5482 0.3942 0.0087
Li: 0.6676 0.8220 0.2611
Li: 0.7432 0.2291 0.5167
Li: 0.8220 0.6676 0.7611
Li: 0.9280 0.0720 0.0000
Fe: 0.4503 0.9855 0.7709
Fe: 0.9855 0.4503 0.2709
O: 0.0093 0.2038 0.3885
O: 0.2038 0.0093 0.8885
F: 0.1081 0.6452 0.6295
F: 0.2675 0.4604 0.1268
F: 0.3514 0.8304 0.3795
F: 0.4604 0.2675 0.6268
F: 0.5524 0.7202 0.8862
F: 0.6452 0.1081 0.1295
F: 0.7202 0.5524 0.3862
F: 0.7227 0.9112 0.6336
F: 0.8304 0.3514 0.8795
F: 0.9112 0.7227 0.1336

Calculated values
raw formation energy	-2.504	eV per atom
symmetry	Cc, No. 9



Entry 5:
The following is a PBEsol calculation of LiFe2OF3 after structural relaxation, from Alexandria via LeMat-Bulk.

a = 5.6405 Å, b = 5.6405 Å, c = 5.3811 Å
α = 90.00°, β = 90.00°, γ = 120.00°
Atoms (fractional coordinates):
Li: 0.3333 0.6667 0.0226
Li: 0.6667 0.3333 0.9774
Fe: 0.0000 0.0000 0.0000
Fe: 0.0000 0.5000 0.5000
Fe: 0.5000 0.0000 0.5000
Fe: 0.5000 0.5000 0.5000
O: 0.3333 0.6667 0.6800
O: 0.6667 0.3333 0.3200
F: 0.1633 0.3265 0.2021
F: 0.1633 0.8367 0.2021
F: 0.3265 0.1633 0.7979
F: 0.6735 0.8367 0.2021
F: 0.8367 0.1633 0.7979
F: 0.8367 0.6735 0.7979

Calculated values
raw formation energy	-1.693	eV per atom
symmetry	P-3m1, No. 164



Entry 6:
The following is a PBEsol calculation of Li2FeOF3 after structural relaxation, from Alexandria via LeMat-Bulk.

a = 5.8334 Å, b = 5.8334 Å, c = 5.8182 Å
α = 118.95°, β = 118.95°, γ = 60.13°
Atoms (fractional coordinates):
Li: 0.0000 0.0000 0.0000
Li: 0.0000 0.0000 0.5000
Li: 0.3787 0.3787 0.6000
Li: 0.6213 0.6213 0.4000
Fe: 0.0000 0.5000 0.0000
Fe: 0.5000 0.0000 0.0000
O: 0.2468 0.2468 0.1954
O: 0.7532 0.7532 0.8046
F: 0.2260 0.7538 0.2436
F: 0.2446 0.2446 0.7397
F: 0.2462 0.7740 0.7564
F: 0.7538 0.2260 0.2436
F: 0.7554 0.7554 0.2603
F: 0.7740 0.2462 0.7564

Calculated values
raw formation energy	-2.293	eV per atom
symmetry	C2/m, No. 12



Entry 7:
The following is a PBEsol calculation of Li2FeOF3 after structural relaxation, from Alexandria via LeMat-Bulk.

a = 5.8241 Å, b = 5.8241 Å, c = 5.8449 Å
α = 119.73°, β = 119.73°, γ = 59.34°
Atoms (fractional coordinates):
Li: 0.0000 0.0000 0.0000
Li: 0.1119 0.6381 0.3978
Li: 0.6332 0.6332 0.3895
Li: 0.6381 0.1119 0.3978
Fe: 0.2390 0.2390 0.7690
Fe: 0.6364 0.6364 0.8744
O: 0.3896 0.8649 0.6630
O: 0.8649 0.3896 0.6630
F: 0.3818 0.3818 0.6485
F: 0.3838 0.3838 0.1691
F: 0.4036 0.8613 0.1368
F: 0.8613 0.4036 0.1368
F: 0.8657 0.8657 0.6160
F: 0.8740 0.8740 0.1516

Calculated values
raw formation energy	-2.368	eV per atom
symmetry	Cm, No. 8



Entry 8:
The following is a PBEsol calculation of LiFe5O4F8 after structural relaxation, from Alexandria via LeMat-Bulk.

a = 9.4070 Å, b = 8.4626 Å, c = 5.5771 Å
α = 81.33°, β = 62.79°, γ = 35.88°
Atoms (fractional coordinates):
Li: 0.0000 0.0000 0.0000
Fe: 0.0939 0.0939 0.4061
Fe: 0.3396 0.3396 0.6604
Fe: 0.4061 0.4061 0.0939
Fe: 0.6604 0.6604 0.3396
Fe: 0.7500 0.7500 0.7500
O: 0.1204 0.5392 0.4805
O: 0.4805 0.8599 0.1204
O: 0.5392 0.1204 0.8599
O: 0.8599 0.4805 0.5392
F: 0.2007 0.6366 0.8842
F: 0.2236 0.7764 0.2236
F: 0.2785 0.8842 0.6366
F: 0.5249 0.9751 0.5249
F: 0.6366 0.2007 0.2785
F: 0.7764 0.2236 0.7764
F: 0.8842 0.2785 0.2007
F: 0.9751 0.5249 0.9751

Calculated values
raw formation energy	-1.847	eV per atom
symmetry	F222, No. 22